# 1
CaCd2W at its PBEsol-relaxed geometry. Source: Alexandria via LeMat-Bulk, functional meta-GGA SCAN.

E ... -2.5438 Ry per atom
N(E_F) ... 0.400 states/eV per atom
Crystal system ... orthorhombic
Energy above the most stable polymorph in this dataset ... 23 meV/atom
Calculated volume ... 20.00 Å³ per atom
Formation energy from the elements ... 0.4347 eV/atom

Cell lengths 2.884, 2.884, 9.616 Å; angles 90.00, 90.00, 90.12 degrees
Fractional positions:
Ca  0.000  0.000  0.000
Cd  0.000  0.000  0.481
Cd  0.500  0.500  0.729
W  0.500  0.500  0.255

# 2
TcPRh2 at its PBEsol-relaxed geometry. Source: Alexandria via LeMat-Bulk, functional meta-GGA SCAN.

E ... -2.0763 Ry per atom
N(E_F) ... 0.877 states/eV per atom
Crystal system ... orthorhombic
Calculated volume ... 13.22 Å³ per atom
Formation energy from the elements ... 0.0003 eV/atom

Cell lengths 4.562, 4.562, 2.720 Å; angles 90.00, 90.00, 110.95 degrees
Fractional positions:
Tc  0.000  0.000  0.000
P  0.500  0.500  0.000
Rh  0.000  0.500  0.500
Rh  0.500  0.000  0.500

# 3
Cr2TcRu at its PBEsol-relaxed geometry. Source: Alexandria via LeMat-Bulk, functional meta-GGA SCAN.

E ... -1.9417 Ry per atom
N(E_F) ... 0.977 states/eV per atom
Crystal system ... trigonal
Calculated volume ... 12.64 Å³ per atom
Formation energy from the elements ... 0.2451 eV/atom

Cell lengths 8.547, 8.547, 8.547 Å; angles 17.73, 17.73, 17.73 degrees
Fractional positions:
Cr  0.000  0.000  0.000
Cr  0.254  0.254  0.254
Tc  0.505  0.505  0.505
Ru  0.747  0.747  0.747

# 4
Tl2ZnIr at its PBEsol-relaxed geometry. Source: Alexandria via LeMat-Bulk, functional meta-GGA SCAN.

E ... -4.1737 Ry per atom
N(E_F) ... 0.485 states/eV per atom
Crystal system ... monoclinic
Energy above the most stable polymorph in this dataset ... 30 meV/atom
Calculated volume ... 18.83 Å³ per atom
Formation energy from the elements ... 0.5461 eV/atom

Cell lengths 4.937, 4.937, 5.063 Å; angles 99.44, 99.44, 38.29 degrees
Fractional positions:
Tl  0.244  0.244  0.245
Tl  0.756  0.756  0.755
Zn  0.000  0.000  0.500
Ir  0.500  0.500  0.000

# 5
Al2SiSe at its PBEsol-relaxed geometry. Source: Alexandria via LeMat-Bulk, functional meta-GGA SCAN.

E ... -0.8358 Ry per atom
N(E_F) ... 0.279 states/eV per atom
Crystal system ... orthorhombic
Formation energy (no corrections) ... 27 meV per atom
Calculated volume ... 17.34 Å³ per atom

Cell lengths 2.815, 3.564, 6.913 Å; angles 90.00, 90.00, 90.00 degrees
Fractional positions:
Al  0.000  0.000  0.211
Al  0.000  0.000  0.789
Si  0.500  0.500  0.000
Se  0.000  0.500  0.500

# 6
BeNiRu at its PBEsol-relaxed geometry. Source: Alexandria via LeMat-Bulk, functional meta-GGA SCAN.

E ... -1.3603 Ry per atom
N(E_F) ... 0.649 states/eV per atom
Crystal system ... trigonal
Calculated volume ... 10.75 Å³ per atom
Formation energy from the elements ... -0.0565 eV/atom

Cell lengths 3.870, 3.870, 2.487 Å; angles 90.00, 90.00, 120.00 degrees
Fractional positions:
Be  0.000  0.000  0.000
Ni  0.333  0.667  0.991
Ru  0.667  0.333  0.492

# 7
LiCoCN2 at its PBEsol-relaxed geometry. Source: Alexandria via LeMat-Bulk, functional meta-GGA SCAN.

E ... -0.5334 Ry per atom
N(E_F) ... 0.435 states/eV per atom
Crystal system ... tetragonal
Formation energy (no corrections) ... 2418 meV per atom
Calculated volume ... 8.30 Å³ per atom

Cell lengths 3.417, 3.417, 3.554 Å; angles 90.00, 90.00, 90.00 degrees
Fractional positions:
Li  0.000  0.000  0.000
Co  0.500  0.500  0.500
C  0.000  0.000  0.500
N  0.000  0.500  0.000
N  0.500  0.000  0.000

# 8
AsIr2W at its PBEsol-relaxed geometry. Source: Alexandria via LeMat-Bulk, functional meta-GGA SCAN.

E ... -4.2494 Ry per atom
N(E_F) ... 0.761 states/eV per atom
Crystal system ... orthorhombic
Calculated volume ... 14.96 Å³ per atom
Formation energy from the elements ... 0.2032 eV/atom

Cell lengths 2.807, 3.657, 5.828 Å; angles 90.00, 90.00, 90.00 degrees
Fractional positions:
As  0.000  0.000  0.000
Ir  0.000  0.000  0.480
Ir  0.500  0.500  0.208
W  0.500  0.500  0.699

# 9
NaTl2W at its PBEsol-relaxed geometry. Source: Alexandria via LeMat-Bulk, functional meta-GGA SCAN.

E ... -3.9554 Ry per atom
N(E_F) ... 0.554 states/eV per atom
Crystal system ... cubic
Calculated volume ... 20.91 Å³ per atom
Formation energy from the elements ... 0.8395 eV/atom

Cell lengths 4.909, 4.909, 4.909 Å; angles 60.00, 60.00, 60.00 degrees
Fractional positions:
Na  0.000  0.000  0.000
Tl  0.250  0.250  0.250
Tl  0.750  0.750  0.750
W  0.500  0.500  0.500

# 10
MgTaN3 at its PBEsol-relaxed geometry. Source: Alexandria via LeMat-Bulk, functional meta-GGA SCAN.

E ... -1.3741 Ry per atom
N(E_F) ... 0.293 states/eV per atom
Crystal system ... cubic
Formation energy (no corrections) ... 1191 meV per atom
Calculated volume ... 10.32 Å³ per atom

Cell lengths 3.723, 3.723, 3.723 Å; angles 90.00, 90.00, 90.00 degrees
Fractional positions:
Mg  0.000  0.000  0.000
Ta  0.500  0.500  0.500
N  0.000  0.000  0.500
N  0.000  0.500  0.000
N  0.500  0.000  0.000

# 11
Ag3TeOs at its PBEsol-relaxed geometry. Source: Alexandria via LeMat-Bulk, functional meta-GGA SCAN.

E ... -2.8615 Ry per atom
N(E_F) ... 1.049 states/eV per atom
Crystal system ... cubic
Formation energy (no corrections) ... 1714 meV per atom
Calculated volume ... 25.78 Å³ per atom

Cell lengths 5.051, 5.051, 5.051 Å; angles 90.00, 90.00, 90.00 degrees
Fractional positions:
Ag  0.000  0.000  0.500
Ag  0.000  0.500  0.000
Ag  0.500  0.000  0.000
Te  0.000  0.000  0.000
Os  0.500  0.500  0.500

# 12
MgAlSb2 at its PBEsol-relaxed geometry. Source: Alexandria via LeMat-Bulk, functional meta-GGA SCAN.

E ... -1.6088 Ry per atom
N(E_F) ... 0.723 states/eV per atom
Crystal system ... tetragonal
Energy above the most stable polymorph in this dataset ... 6 meV/atom
Formation energy (no corrections) ... -77 meV per atom
Calculated volume ... 31.33 Å³ per atom

Cell lengths 7.475, 7.475, 7.475 Å; angles 128.21, 128.21, 76.29 degrees
Fractional positions:
Mg  0.000  0.000  0.000
Mg  0.750  0.250  0.500
Al  0.250  0.750  0.500
Al  0.500  0.500  0.000
Sb  0.145  0.625  0.020
Sb  0.375  0.395  0.520
Sb  0.605  0.125  0.980
Sb  0.875  0.855  0.480

# 13
ZnCr at its PBEsol-relaxed geometry. Source: Alexandria via LeMat-Bulk, functional meta-GGA SCAN.

E ... -1.1492 Ry per atom
N(E_F) ... 0.786 states/eV per atom
Crystal system ... hexagonal
Calculated volume ... 12.29 Å³ per atom
Formation energy from the elements ... 0.3144 eV/atom

Cell lengths 2.547, 2.547, 8.748 Å; angles 90.00, 90.00, 120.00 degrees
Fractional positions:
Zn  0.333  0.667  0.250
Zn  0.667  0.333  0.750
Cr  0.000  0.000  0.000
Cr  0.000  0.000  0.500

# 14
ScCrIn2 at its PBEsol-relaxed geometry. Source: Alexandria via LeMat-Bulk, functional meta-GGA SCAN.

E ... -1.8308 Ry per atom
N(E_F) ... 0.723 states/eV per atom
Crystal system ... tetragonal
Energy above the most stable polymorph in this dataset ... 193 meV/atom
Calculated volume ... 20.07 Å³ per atom
Formation energy from the elements ... -0.0612 eV/atom

Cell lengths 3.562, 3.562, 6.327 Å; angles 90.00, 90.00, 90.00 degrees
Fractional positions:
Sc  0.000  0.000  0.000
Cr  0.500  0.500  0.223
In  0.000  0.000  0.460
In  0.500  0.500  0.736

# 15
CrPt2Se at its PBEsol-relaxed geometry. Source: Alexandria via LeMat-Bulk, functional meta-GGA SCAN.

E ... -3.3046 Ry per atom
N(E_F) ... 0.436 states/eV per atom
Crystal system ... orthorhombic
Formation energy (no corrections) ... -249 meV per atom
Calculated volume ... 16.07 Å³ per atom

Cell lengths 3.770, 3.770, 4.523 Å; angles 90.00, 90.00, 91.21 degrees
Fractional positions:
Cr  0.000  0.000  0.000
Pt  0.239  0.761  0.500
Pt  0.761  0.239  0.500
Se  0.500  0.500  0.000

# 16
BeIr at its PBEsol-relaxed geometry. Source: Alexandria via LeMat-Bulk, functional meta-GGA SCAN.

E ... -2.7002 Ry per atom
N(E_F) ... 1.248 states/eV per atom
Crystal system ... cubic
Calculated volume ... 14.63 Å³ per atom
Formation energy from the elements ... 0.9879 eV/atom

Cell lengths 3.459, 3.459, 3.459 Å; angles 60.00, 60.00, 60.00 degrees
Fractional positions:
Be  0.000  0.000  0.000
Ir  0.750  0.750  0.750

# 17
RbNb2Se2 at its PBEsol-relaxed geometry. Source: Alexandria via LeMat-Bulk, functional meta-GGA SCAN.

E ... -1.9368 Ry per atom
N(E_F) ... 0.150 states/eV per atom
Crystal system ... tetragonal
Formation energy (no corrections) ... -920 meV per atom
Calculated volume ... 23.74 Å³ per atom

Cell lengths 8.169, 8.169, 8.169 Å; angles 152.16, 152.16, 39.78 degrees
Fractional positions:
Rb  0.000  0.000  0.000
Nb  0.250  0.750  0.500
Nb  0.750  0.250  0.500
Se  0.367  0.367  0.000
Se  0.633  0.633  0.000

# 18
KMn2RuPt at its PBEsol-relaxed geometry. Source: Alexandria via LeMat-Bulk, functional meta-GGA SCAN.

E ... -2.0467 Ry per atom
N(E_F) ... 0.527 states/eV per atom
Crystal system ... tetragonal
Calculated volume ... 17.14 Å³ per atom
Formation energy from the elements ... 2.1250 eV/atom

Cell lengths 4.443, 4.443, 4.342 Å; angles 90.00, 90.00, 90.00 degrees
Fractional positions:
K  0.000  0.000  0.000
Mn  0.000  0.500  0.000
Mn  0.500  0.000  0.000
Ru  0.000  0.000  0.500
Pt  0.500  0.500  0.500

# 19
MgPt2Au at its PBEsol-relaxed geometry. Source: Alexandria via LeMat-Bulk, functional meta-GGA SCAN.

E ... -3.9791 Ry per atom
N(E_F) ... 0.440 states/eV per atom
Crystal system ... orthorhombic
Calculated volume ... 15.64 Å³ per atom
Formation energy from the elements ... -0.5099 eV/atom

Cell lengths 4.697, 4.697, 2.944 Å; angles 90.00, 90.00, 105.62 degrees
Fractional positions:
Mg  0.000  0.000  0.000
Pt  0.000  0.500  0.500
Pt  0.500  0.000  0.500
Au  0.500  0.500  0.000

# 20
Cd4Cu3 at its PBEsol-relaxed geometry. Source: Alexandria via LeMat-Bulk, functional meta-GGA SCAN.

E ... -1.7524 Ry per atom
N(E_F) ... 0.221 states/eV per atom
Crystal system ... tetragonal
Energy above the most stable polymorph in this dataset ... 0 meV/atom
Calculated volume ... 16.17 Å³ per atom
Formation energy from the elements ... 0.0514 eV/atom

Cell lengths 11.775, 11.775, 11.775 Å; angles 164.73, 164.73, 21.66 degrees
Fractional positions:
Cd  0.068  0.068  0.000
Cd  0.344  0.344  0.000
Cd  0.656  0.656  0.000
Cd  0.932  0.932  0.000
Cu  0.225  0.225  0.000
Cu  0.500  0.500  0.000
Cu  0.775  0.775  0.000

# 21
LiCo2H at its PBEsol-relaxed geometry. Source: Alexandria via LeMat-Bulk, functional meta-GGA SCAN.

E ... -0.7182 Ry per atom
N(E_F) ... 0.865 states/eV per atom
Crystal system ... cubic
Calculated volume ... 10.99 Å³ per atom

Cell lengths 4.991, 4.991, 4.991 Å; angles 60.00, 60.00, 60.00 degrees
Fractional positions:
Li  0.125  0.125  0.125
Li  0.875  0.875  0.875
Co  0.000  0.500  0.500
Co  0.500  0.000  0.500
Co  0.500  0.500  0.000
Co  0.500  0.500  0.500
H  0.375  0.375  0.375
H  0.625  0.625  0.625

# 22
BePt3 at its PBEsol-relaxed geometry. Source: Alexandria via LeMat-Bulk, functional meta-GGA SCAN.

E ... -3.9828 Ry per atom
N(E_F) ... 0.685 states/eV per atom
Crystal system ... orthorhombic
Calculated volume ... 13.46 Å³ per atom
Formation energy from the elements ... -0.4562 eV/atom

Cell lengths 5.280, 7.750, 5.264 Å; angles 90.00, 90.00, 90.00 degrees
Fractional positions:
Be  0.042  0.250  0.039
Be  0.458  0.750  0.539
Be  0.542  0.250  0.461
Be  0.958  0.750  0.961
Pt  0.001  0.250  0.506
Pt  0.182  0.502  0.818
Pt  0.182  0.998  0.818
Pt  0.318  0.002  0.318
Pt  0.318  0.498  0.318
Pt  0.499  0.750  0.006
Pt  0.501  0.250  0.994
Pt  0.682  0.502  0.682
Pt  0.682  0.998  0.682
Pt  0.818  0.002  0.182
Pt  0.818  0.498  0.182
Pt  0.999  0.750  0.494

# 23
SbI5F6 at its PBEsol-relaxed geometry. Source: Alexandria via LeMat-Bulk, functional meta-GGA SCAN.

E ... -1.5850 Ry per atom
Crystal system ... triclinic
Formation energy (no corrections) ... -1380 meV per atom
Calculated volume ... 26.95 Å³ per atom

Cell lengths 8.103, 8.520, 15.387 Å; angles 100.68, 94.46, 109.86 degrees
Fractional positions:
Sb  0.000  0.000  0.000
Sb  0.474  0.152  0.347
Sb  0.526  0.848  0.653
I  0.000  0.000  0.500
I  0.042  0.352  0.256
I  0.166  0.252  0.766
I  0.170  0.549  0.421
I  0.247  0.599  0.161
I  0.302  0.273  0.610
I  0.342  0.574  0.906
I  0.456  0.829  0.063
I  0.544  0.171  0.937
I  0.658  0.426  0.094
I  0.698  0.727  0.390
I  0.753  0.401  0.839
I  0.830  0.451  0.579
I  0.834  0.748  0.234
I  0.958  0.648  0.744
F  0.034  0.162  0.925
F  0.094  0.866  0.917
F  0.232  0.126  0.064
F  0.236  0.050  0.287
F  0.286  0.739  0.590
F  0.400  0.268  0.448
F  0.436  0.952  0.750
F  0.442  0.964  0.401
F  0.493  0.654  0.704
F  0.507  0.346  0.296
F  0.558  0.036  0.599
F  0.564  0.048  0.250
F  0.600  0.732  0.552
F  0.714  0.261  0.410
F  0.764  0.950  0.713
F  0.768  0.874  0.936
F  0.906  0.134  0.083
F  0.966  0.838  0.075

# 24
FeCuS2 at its PBEsol-relaxed geometry. Source: Alexandria via LeMat-Bulk, functional meta-GGA SCAN.

E ... -0.9882 Ry per atom
N(E_F) ... 0.595 states/eV per atom
Crystal system ... tetragonal
Formation energy (no corrections) ... -298 meV per atom
Calculated volume ... 15.74 Å³ per atom

Cell lengths 6.121, 6.121, 6.121 Å; angles 131.50, 131.50, 71.02 degrees
Fractional positions:
Fe  0.000  0.000  0.000
Fe  0.750  0.250  0.500
Cu  0.250  0.750  0.500
Cu  0.500  0.500  0.000
S  0.101  0.625  0.976
S  0.375  0.351  0.476
S  0.649  0.125  0.024
S  0.875  0.899  0.524

# 25
TiAl2Ag at its PBEsol-relaxed geometry. Source: Alexandria via LeMat-Bulk, functional meta-GGA SCAN.

E ... -1.1474 Ry per atom
N(E_F) ... 0.667 states/eV per atom
Crystal system ... tetragonal
Calculated volume ... 17.48 Å³ per atom
Formation energy from the elements ... 0.1140 eV/atom

Cell lengths 5.737, 5.737, 5.737 Å; angles 103.49, 103.49, 122.23 degrees
Fractional positions:
Ti  0.000  0.000  0.000
Ti  0.750  0.250  0.500
Al  0.146  0.125  0.521
Al  0.375  0.854  0.979
Al  0.604  0.625  0.479
Al  0.875  0.396  0.021
Ag  0.250  0.750  0.500
Ag  0.500  0.500  0.000